CdCuHg2 | PBEsol | optimized geometry

Summary:
Size of the total moment (μB per formula unit): 0.0
Electronic total energy (Ry per atom): -0.119
Symmetry: Imm2

a = 2.9419 Å, b = 4.4593 Å, c = 6.5711 Å
α = 109.83°, β = 102.94°, γ = 90.00°
Fractional positions:
Hg (0.9435, 0.9435, 0.8869)
Hg (0.7482, 0.2482, 0.4965)
Cu (0.2501, 0.7501, 0.5003)
Cd (0.5581, 0.5581, 0.1163)